{
  "formula": "TiNb2CuN",
  "functional": "PBE-GGA",
  "state": "optimized geometry",
  "lattice": [[4.256, 0.000, 0.000], [0.000, 4.256, 0.000], [0.000, 0.000, 4.018]],
  "species": ["N", "Nb", "Nb", "Cu", "Ti"],
  "fractional_positions": [[0.000, 0.000, 0.000], [0.500, 0.000, 0.000], [0.000, 0.500, 0.000], [0.500, 0.500, 0.500], [0.000, 0.000, 0.500]],
  "e_tot_ev_per_cell": -43.01,
  "m_tot_mub_per_cell": 0.000,
  "sg": "P4/mmm, No. 123",
  "e_form_raw_ev_per_atom": -0.510,
  "dos_at_fermi_per_ev_cell": 3.4
}

***

{
  "formula": "AgGePt",
  "functional": "PBE-GGA",
  "state": "optimized geometry",
  "lattice": [[3.291, 0.000, 0.000], [0.000, 3.291, 0.000], [-1.646, -1.646, 4.740]],
  "species": ["Pt", "Ge", "Ag"],
  "fractional_positions": [[0.311, 0.311, 0.622], [0.689, 0.689, 0.379], [0.000, 0.000, 0.000]],
  "e_tot_ev_per_cell": -13.86,
  "m_tot_mub_per_cell": 0.000,
  "sg": "I4mm, No. 107",
  "delta_e_f_ev_per_atom": -0.12,
  "dos_at_fermi_per_ev_cell": 1.4
}

***

{
  "formula": "ZnW4",
  "functional": "PBE-GGA",
  "state": "optimized geometry",
  "lattice": [[12.032, -1.394, 0.006], [12.032, 1.394, 0.006], [11.869, 0.000, 2.414]],
  "species": ["W", "W", "W", "W", "Zn"],
  "fractional_positions": [[0.102, 0.102, 0.102], [0.701, 0.701, 0.701], [0.299, 0.299, 0.299], [0.898, 0.898, 0.898], [0.500, 0.500, 0.500]],
  "e_tot_ev_per_cell": -51.02,
  "m_tot_mub_per_cell": 0.000,
  "sg": "R-3m, No. 166",
  "delta_e_f_ev_per_atom": 0.41,
  "dos_at_fermi_per_ev_cell": 3.7
}

***

{
  "formula": "Tb3Nd2N4",
  "functional": "PBE-GGA",
  "state": "optimized geometry",
  "lattice": [[3.437, 0.000, 0.845], [1.519, 5.857, 1.235], [-0.160, 0.523, 8.061]],
  "species": ["Tb", "Tb", "Tb", "N", "N", "N", "N", "Nd", "Nd"],
  "fractional_positions": [[0.791, 0.601, 0.817], [0.000, 0.000, 0.000], [0.209, 0.399, 0.183], [0.394, 0.303, 0.908], [0.802, 0.103, 0.293], [0.198, 0.897, 0.707], [0.606, 0.697, 0.092], [0.604, 0.178, 0.614], [0.396, 0.822, 0.386]],
  "e_tot_ev_per_cell": -69.01,
  "m_tot_mub_per_cell": 0.245,
  "sg": "C2/m, No. 12",
  "e_form_raw_ev_per_atom": -1.365,
  "dos_at_fermi_per_ev_cell": 4.4
}

***

{
  "formula": "CrCu2AuC",
  "functional": "PBE-GGA",
  "state": "optimized geometry",
  "lattice": [[-0.509, -2.471, 3.039], [-0.396, -3.312, -2.759], [3.900, -0.602, 0.163]],
  "species": ["Cu", "Cu", "C", "Cr", "Au"],
  "fractional_positions": [[0.500, 0.000, 0.000], [0.000, 0.000, 0.500], [0.000, 0.000, 0.000], [0.500, 0.500, 0.500], [0.000, 0.500, 0.000]],
  "e_tot_ev_per_cell": -27.21,
  "m_tot_mub_per_cell": 4.509,
  "sg": "P4/mmm, No. 123",
  "delta_e_f_ev_per_atom": 0.62,
  "dos_at_fermi_per_ev_cell": 1.6
}